Entry 1:
A geometry-optimized YW2 structure. Source: Alexandria via LeMat-Bulk, functional PBE.

It has space group Immm (No. 71), with a = 2.776 Å, b = 4.979 Å, c = 8.392 Å, α = 90.00°, β = 90.00° and γ = 90.00°. The inequivalent atoms are Y at (0.000, 0.000, 0.000) and W at (0.000, 0.000, 0.341).



Entry 2:
A geometry-optimized YW2 structure. Source: Alexandria via LeMat-Bulk, functional PBE.

It has space group P4/mmm (No. 123), with a = 5.148 Å, b = 5.148 Å, c = 2.726 Å, α = 90.00°, β = 90.00° and γ = 90.00°. The inequivalent atoms are Y at (0.000, 0.000, 0.000) and W at (0.000, 0.500, 0.500).



Number 1: total magnetic moment 0.000 μB per atom, energy of formation from the pure elements 17.03 kcal/mol of atoms. Number 2: total magnetic moment 0.000 μB per atom, energy of formation from the pure elements 52.19 kcal/mol of atoms.